# 1
# Ti5Nb4Pd

A geometry-optimized Ti5Nb4Pd structure (PBE, the Alexandria database).

## Properties
total energy	-0.6312	Ry/atom
E_form	-94	meV/atom

Cell lengths 3.2286, 3.2286, 16.4164 Å; angles 90.00, 90.00, 90.00 degrees
Last column: nearest neighbours and their distance in Å.
Fractional positions:
Ti 0.5000 0.5000 0.5000  8 Nb 2.83
Ti 0.5000 0.5000 0.7054  8 Nb 2.80-2.85
Nb 0.0000 0.0000 0.1960  8 Ti 2.80
Ti 0.5000 0.5000 0.2946  8 Nb 2.80-2.85
Pd 0.0000 0.0000 0.0000  8 Ti 2.78
Ti 0.5000 0.5000 0.9031  4 Pd 2.78, 4 Nb 2.80
Ti 0.5000 0.5000 0.0969  4 Pd 2.78, 4 Nb 2.80
Nb 0.0000 0.0000 0.3985  8 Ti 2.83-2.85
Nb 0.0000 0.0000 0.8040  8 Ti 2.80
Nb 0.0000 0.0000 0.6015  8 Ti 2.83-2.85

---

# 2
# Ti4NbPd

A geometry-optimized Ti4NbPd structure (PBE, the Alexandria database).

## Properties
total energy	-0.5501	Ry/atom
E_form	322	meV/atom

Cell lengths 4.3779, 4.3779, 6.1167 Å; angles 90.00, 90.00, 90.03 degrees
Last column: nearest neighbours and their distance in Å.
Fractional positions:
Ti 0.0000 0.5000 0.7504  2 Nb 2.67, 2 Pd 2.67
Ti 0.5000 0.0000 0.7504  2 Nb 2.67, 2 Pd 2.67
Ti 0.0000 0.5000 0.2496  2 Nb 2.67, 2 Pd 2.67
Ti 0.5000 0.0000 0.2496  2 Nb 2.67, 2 Pd 2.67
Pd 0.5000 0.5000 0.5000  8 Ti 2.67
Nb 0.0000 0.0000 0.0000  8 Ti 2.67

---

# 3
# Ti2NbPd

A geometry-optimized Ti2NbPd structure (PBE, the Alexandria database).

## Properties
total energy	-0.5809	Ry/atom
offset from the most stable computed form	0.2005	eV/atom
E_form	-140	meV/atom

Cell lengths 2.9220, 2.9220, 9.3205 Å; angles 80.98, 80.98, 60.00 degrees
Last column: nearest neighbours and their distance in Å.
Fractional positions:
Pd 0.6673 0.6673 0.9981  6 Ti 2.75-2.79, 6 Pd 2.92
Ti 0.2532 0.2532 0.2405  3 Pd 2.79, 3 Nb 2.92, 6 Ti 2.92
Ti 0.0798 0.0798 0.7606  3 Pd 2.75, 3 Nb 2.92, 6 Ti 2.92
Nb 0.4997 0.4997 0.5008  6 Ti 2.92, 6 Nb 2.92

---

# 4
# Ti6NbPd12

A geometry-optimized Ti6NbPd12 structure (PBE, the Alexandria database).

## Properties
total energy	-0.4924	Ry/atom
E_form	-397	meV/atom

Cell lengths 6.7469, 6.7469, 6.7469 Å; angles 89.77, 89.77, 89.77 degrees
Last column: nearest neighbours and their distance in Å.
Fractional positions:
Ti 0.2869 0.1250 0.7325  7 Pd 2.63-2.91, 1 Nb 2.77, 2 Ti 2.94
Pd 0.5341 0.4372 0.7987  4 Ti 2.63-2.77, 4 Pd 2.76-2.88
Pd 0.5628 0.2013 0.4659  4 Ti 2.63-2.77, 4 Pd 2.76-2.88
Pd 0.4659 0.5628 0.2013  4 Ti 2.63-2.77, 4 Pd 2.76-2.88
Ti 0.1250 0.7325 0.2869  7 Pd 2.63-2.91, 1 Nb 2.77, 2 Ti 2.94
Pd 0.1504 0.3694 0.0274  4 Ti 2.65-2.95, 1 Nb 2.70, 4 Pd 2.71-2.86
Pd 0.9726 0.8496 0.6306  4 Ti 2.65-2.95, 1 Nb 2.70, 4 Pd 2.71-2.86
Ti 0.7325 0.2869 0.1250  7 Pd 2.63-2.91, 1 Nb 2.77, 2 Ti 2.94
Pd 0.2013 0.4659 0.5628  4 Ti 2.63-2.77, 4 Pd 2.76-2.88
Ti 0.2675 0.7131 0.8750  7 Pd 2.63-2.91, 1 Nb 2.77, 2 Ti 2.94
Pd 0.6306 0.9726 0.8496  4 Ti 2.65-2.95, 1 Nb 2.70, 4 Pd 2.71-2.86
Ti 0.7131 0.8750 0.2675  7 Pd 2.63-2.91, 1 Nb 2.77, 2 Ti 2.94
Nb 0.0000 0.0000 0.0000  6 Pd 2.70, 6 Ti 2.77
Ti 0.8750 0.2675 0.7131  7 Pd 2.63-2.91, 1 Nb 2.77, 2 Ti 2.94
Pd 0.8496 0.6306 0.9726  4 Ti 2.65-2.95, 1 Nb 2.70, 4 Pd 2.71-2.86
Pd 0.0274 0.1504 0.3694  4 Ti 2.65-2.95, 1 Nb 2.70, 4 Pd 2.71-2.86
Pd 0.4372 0.7987 0.5341  4 Ti 2.63-2.77, 4 Pd 2.76-2.88
Pd 0.7987 0.5341 0.4372  4 Ti 2.63-2.77, 4 Pd 2.76-2.88
Pd 0.3694 0.0274 0.1504  4 Ti 2.65-2.95, 1 Nb 2.70, 4 Pd 2.71-2.86